No. 1
First-principles (meta-GGA SCAN) data for a PBEsol-optimized structure of RbCr2SI, as listed in the Alexandria database.

Results
DFT total energy = -19.39 eV per atom
volume = 44.9 A^3/atom

a = 6.0953 Å, b = 6.0953 Å, c = 6.0442 Å
α = 90.00°, β = 90.00°, γ = 90.00°
Closest atoms and distances in Å follow each position.
Positions (direct):
Rb: 0.0000 0.0000 0.0000  2 I 3.02, 4 Cr 3.05
Cr: 0.0000 0.5000 0.0000  2 Rb 3.05
Cr: 0.5000 0.0000 0.0000  2 Rb 3.05
S: 0.5000 0.5000 0.5000  8 Cr 4.29, 4 I 4.31
I: 0.0000 0.0000 0.5000  2 Rb 3.02

---

No. 2
First-principles (meta-GGA SCAN) data for a PBEsol-optimized structure of Rb2CrTcI, as listed in the Alexandria database.

Results
DFT total energy = -25.38 eV per atom
volume = 46.7 A^3/atom

a = 6.7973 Å, b = 6.7973 Å, c = 5.0579 Å
α = 90.00°, β = 90.00°, γ = 90.00°
Closest atoms and distances in Å follow each position.
Positions (direct):
Rb: 0.0000 0.5000 0.0000  2 I 3.40
Rb: 0.5000 0.0000 0.0000  2 I 3.40
Cr: 0.0000 0.0000 0.5000  8 Rb 4.24
Tc: 0.5000 0.5000 0.5000  2 I 2.53
I: 0.5000 0.5000 0.0000  2 Tc 2.53

---

No. 3
First-principles (meta-GGA SCAN) data for a PBEsol-optimized structure of CrReI2, as listed in the Alexandria database.

Results
DFT total energy = -39.39 eV per atom
volume = 19.1 A^3/atom

a = 4.7631 Å, b = 4.7631 Å, c = 4.7631 Å
α = 60.00°, β = 60.00°, γ = 60.00°
Closest atoms and distances in Å follow each position.
Positions (direct):
Cr: 0.0000 0.0000 0.0000  8 I 2.92
Re: 0.5000 0.5000 0.5000  8 I 2.92
I: 0.2500 0.2500 0.2500  4 Cr 2.92, 4 Re 2.92
I: 0.7500 0.7500 0.7500  4 Cr 2.92, 4 Re 2.92

---

No. 4
First-principles (meta-GGA SCAN) data for a PBEsol-optimized structure of Sc2CrReI, as listed in the Alexandria database.

Results
DFT total energy = -30.28 eV per atom
volume = 21.6 A^3/atom

a = 5.0047 Å, b = 5.0047 Å, c = 4.3142 Å
α = 90.00°, β = 90.00°, γ = 90.00°
Closest atoms and distances in Å follow each position.
Positions (direct):
Sc: 0.0000 0.5000 0.0000  2 Cr 2.50
Sc: 0.5000 0.0000 0.0000  2 Cr 2.50
Cr: 0.0000 0.0000 0.0000  2 Re 2.16
Re: 0.0000 0.0000 0.5000  2 Cr 2.16
I: 0.5000 0.5000 0.5000  8 Sc 3.30, 4 Re 3.54

---

No. 5
First-principles (meta-GGA SCAN) data for a PBEsol-optimized structure of YCr2ReI, as listed in the Alexandria database.

Results
DFT total energy = -33.85 eV per atom
volume = 24.0 A^3/atom

a = 4.6166 Å, b = 4.6166 Å, c = 5.6193 Å
α = 90.00°, β = 90.00°, γ = 90.00°
Closest atoms and distances in Å follow each position.
Positions (direct):
Y: 0.0000 0.0000 0.0000  2 Re 2.81
Cr: 0.0000 0.5000 0.5000  2 Re 2.31
Cr: 0.5000 0.0000 0.5000  2 Re 2.31
Re: 0.0000 0.0000 0.5000  4 Cr 2.31
I: 0.5000 0.5000 0.0000  4 Y 3.26, 8 Cr 3.64

---

No. 6
First-principles (meta-GGA SCAN) data for a PBEsol-optimized structure of CrRh3I, as listed in the Alexandria database.

Results
DFT total energy = -30.24 eV per atom
volume = 17.8 A^3/atom

a = 4.4658 Å, b = 4.4658 Å, c = 4.4658 Å
α = 90.00°, β = 90.00°, γ = 90.00°
Closest atoms and distances in Å follow each position.
Positions (direct):
Cr: 0.0000 0.0000 0.0000  6 Rh 2.23
Rh: 0.0000 0.0000 0.5000  2 Cr 2.23
Rh: 0.0000 0.5000 0.0000  2 Cr 2.23
Rh: 0.5000 0.0000 0.0000  2 Cr 2.23
I: 0.5000 0.5000 0.5000  12 Rh 3.16

---

No. 7
First-principles (meta-GGA SCAN) data for a PBEsol-optimized structure of ScCrRu2I, as listed in the Alexandria database.

Results
DFT total energy = -26.62 eV per atom
volume = 20.7 A^3/atom

a = 4.7381 Å, b = 4.7381 Å, c = 4.6041 Å
α = 90.00°, β = 90.00°, γ = 90.00°
Closest atoms and distances in Å follow each position.
Positions (direct):
Sc: 0.0000 0.0000 0.0000  8 Ru 3.30, 4 Cr 3.35
Cr: 0.5000 0.5000 0.0000  2 I 2.30
Ru: 0.0000 0.5000 0.5000  2 I 2.37
Ru: 0.5000 0.0000 0.5000  2 I 2.37
I: 0.5000 0.5000 0.5000  2 Cr 2.30, 4 Ru 2.37

---

No. 8
First-principles (meta-GGA SCAN) data for a PBEsol-optimized structure of CrTeRuI2, as listed in the Alexandria database.

Results
DFT total energy = -31.96 eV per atom
volume = 29.0 A^3/atom

a = 5.2641 Å, b = 5.2641 Å, c = 5.2288 Å
α = 90.00°, β = 90.00°, γ = 90.00°
Closest atoms and distances in Å follow each position.
Positions (direct):
Cr: 0.0000 0.0000 0.0000  2 Te 2.61, 4 I 2.63
Te: 0.0000 0.0000 0.5000  2 Cr 2.61
Ru: 0.5000 0.5000 0.5000  8 I 3.71, 4 Te 3.72
I: 0.0000 0.5000 0.0000  2 Cr 2.63
I: 0.5000 0.0000 0.0000  2 Cr 2.63

---

These records have formation energy without anion corrections values of 1.390 0.949 1.355 0.659 0.645 1.049 1.182 0.830 eV/atom, in the order they appear.
These records have M_tot values of 10.0 8.2 3.2 0.0 6.5 0.0 1.2 6.5 μB per cell, in the order they appear.